1.
VASP calculation (PBE) on a geometry-optimized NaCd10Hg2 structure.

abc: 6.096 7.647 7.846
angles: 82.22 67.26 69.17
Element x y z (fractional)
Na 0.000 0.000 0.000
Cd 0.000 0.000 0.500
Cd 0.013 0.352 0.645
Cd 0.285 0.213 0.214
Cd 0.340 0.647 0.644
Cd 0.500 0.000 0.500
Cd 0.500 0.209 0.789
Cd 0.500 0.791 0.211
Cd 0.660 0.353 0.356
Cd 0.715 0.787 0.786
Cd 0.987 0.648 0.355
Hg 0.000 0.500 0.000
Hg 0.500 0.500 0.000

Properties
The space group is P-1 (2). As for the calculated volume: 315 Å³/cell. The calculated formation energy comes out at 0.1 kcal/mol of atoms. The magnetic moment comes out at 0.0 Bohr magnetons per cell. The total DFT energy (no corrections) comes out at -0.0312 hartree per atom.


2.
VASP calculation (PBE) on a geometry-optimized Na16CdHg12 structure.

abc: 10.011 10.011 10.076
angles: 109.31 109.31 109.21
Element x y z (fractional)
Na 0.000 0.000 0.000
Na 0.031 0.637 0.019
Na 0.054 0.054 0.618
Na 0.072 0.766 0.737
Na 0.349 0.349 0.315
Na 0.350 0.656 0.913
Na 0.352 0.694 0.324
Na 0.355 0.944 0.639
Na 0.359 0.359 0.653
Na 0.637 0.031 0.019
Na 0.656 0.350 0.913
Na 0.672 0.932 0.317
Na 0.694 0.352 0.324
Na 0.766 0.072 0.737
Na 0.932 0.672 0.317
Na 0.944 0.355 0.639
Cd 0.725 0.725 0.011
Hg 0.155 0.350 0.956
Hg 0.166 0.552 0.515
Hg 0.168 0.984 0.337
Hg 0.349 0.966 0.133
Hg 0.350 0.155 0.956
Hg 0.533 0.730 0.696
Hg 0.542 0.542 0.141
Hg 0.552 0.166 0.515
Hg 0.729 0.729 0.509
Hg 0.730 0.533 0.696
Hg 0.966 0.349 0.133
Hg 0.984 0.168 0.337

Properties
The space group is Cm (8). As for the calculated volume: 783 Å³/cell. The calculated formation energy comes out at -4.5 kcal/mol of atoms. The magnetic moment comes out at 0.0 Bohr magnetons per cell. The total DFT energy (no corrections) comes out at -0.0397 hartree per atom.


3.
VASP calculation (PBE) on a geometry-optimized NaCd2Hg structure.

abc: 4.460 4.432 10.607
angles: 90.00 101.84 90.00
Element x y z (fractional)
Na 0.188 0.250 0.381
Na 0.812 0.750 0.619
Cd 0.058 0.750 0.115
Cd 0.446 0.750 0.894
Cd 0.554 0.250 0.106
Cd 0.942 0.250 0.885
Hg 0.342 0.250 0.681
Hg 0.658 0.750 0.319

Properties
The space group is P2_1/m (11). As for the calculated volume: 205 Å³/cell. The calculated formation energy comes out at -3.0 kcal/mol of atoms. The magnetic moment comes out at 0.0 Bohr magnetons per cell. The total DFT energy (no corrections) comes out at -0.0364 hartree per atom.


4.
VASP calculation (PBE) on a geometry-optimized Na2Cd3Hg6 structure.

abc: 14.853 14.853 14.853
angles: 162.13 162.13 25.37
Element x y z (fractional)
Na 0.156 0.156 0.000
Na 0.844 0.844 0.000
Cd 0.364 0.364 0.000
Cd 0.500 0.500 0.000
Cd 0.636 0.636 0.000
Hg 0.067 0.567 0.500
Hg 0.262 0.262 0.000
Hg 0.433 0.933 0.500
Hg 0.567 0.067 0.500
Hg 0.738 0.738 0.000
Hg 0.933 0.433 0.500

Properties
Its relative energy among the computed polymorphs is 40 meV/atom. The space group is I4/mmm (139). As for the calculated volume: 308 Å³/cell. The calculated formation energy comes out at -1.2 kcal/mol of atoms. The magnetic moment comes out at 0.0 Bohr magnetons per cell. The total DFT energy (no corrections) comes out at -0.0259 hartree per atom.


5.
VASP calculation (PBE) on a geometry-optimized NaCd3Hg structure.

abc: 5.784 5.784 5.784
angles: 90.00 90.00 90.00
Element x y z (fractional)
Na 0.000 0.000 0.000
Cd 0.000 0.000 0.500
Cd 0.000 0.500 0.000
Cd 0.500 0.000 0.000
Hg 0.500 0.500 0.500

Properties
Its relative energy among the computed polymorphs is 425 meV/atom. The space group is Pm-3m (221). As for the calculated volume: 194 Å³/cell. The calculated formation energy comes out at 7.9 kcal/mol of atoms. The magnetic moment comes out at 0.0 Bohr magnetons per cell. The total DFT energy (no corrections) comes out at -0.0196 hartree per atom.


6.
VASP calculation (PBE) on a geometry-optimized Na2CdHg2 structure.

abc: 4.550 4.550 13.911
angles: 90.00 90.00 90.00
Element x y z (fractional)
Na 0.000 0.500 0.250
Na 0.000 0.500 0.750
Na 0.500 0.000 0.250
Na 0.500 0.000 0.750
Cd 0.000 0.000 0.000
Cd 0.500 0.500 0.500
Hg 0.000 0.000 0.398
Hg 0.000 0.000 0.602
Hg 0.500 0.500 0.102
Hg 0.500 0.500 0.898

Properties
Its relative energy among the computed polymorphs is 168 meV/atom. The space group is I4/mmm (139). As for the calculated volume: 288 Å³/cell. The calculated formation energy comes out at -0.8 kcal/mol of atoms. The magnetic moment comes out at 0.0 Bohr magnetons per cell. The total DFT energy (no corrections) comes out at -0.0318 hartree per atom.


7.
VASP calculation (PBE) on a geometry-optimized Na8Cd2Hg3 structure.

abc: 8.268 8.268 5.843
angles: 105.87 105.87 86.59
Element x y z (fractional)
Na 0.065 0.065 0.293
Na 0.100 0.585 0.850
Na 0.360 0.360 0.430
Na 0.415 0.900 0.150
Na 0.585 0.100 0.850
Na 0.640 0.640 0.570
Na 0.900 0.415 0.150
Na 0.935 0.935 0.707
Cd 0.216 0.216 0.864
Cd 0.784 0.784 0.136
Hg 0.240 0.760 0.500
Hg 0.500 0.500 0.000
Hg 0.760 0.240 0.500

Properties
The space group is C2/m (12). As for the calculated volume: 370 Å³/cell. The calculated formation energy comes out at -2.5 kcal/mol of atoms. The magnetic moment comes out at 0.0 Bohr magnetons per cell. The total DFT energy (no corrections) comes out at -0.0416 hartree per atom.


8.
VASP calculation (PBE) on a geometry-optimized Na12CdHg7 structure.

abc: 8.880 8.880 8.880
angles: 108.03 108.03 108.03
Element x y z (fractional)
Na 0.013 0.144 0.700
Na 0.144 0.700 0.013
Na 0.174 0.629 0.454
Na 0.300 0.987 0.856
Na 0.371 0.546 0.826
Na 0.454 0.174 0.629
Na 0.546 0.826 0.371
Na 0.629 0.454 0.174
Na 0.700 0.013 0.144
Na 0.826 0.371 0.546
Na 0.856 0.300 0.987
Na 0.987 0.856 0.300
Cd 0.500 0.500 0.500
Hg 0.000 0.000 0.000
Hg 0.114 0.255 0.413
Hg 0.255 0.413 0.114
Hg 0.413 0.114 0.255
Hg 0.587 0.886 0.745
Hg 0.745 0.587 0.886
Hg 0.886 0.745 0.587

Properties
The space group is R-3 (148). As for the calculated volume: 566 Å³/cell. The calculated formation energy comes out at -3.8 kcal/mol of atoms. The magnetic moment comes out at 0.0 Bohr magnetons per cell. The total DFT energy (no corrections) comes out at -0.0407 hartree per atom.